Record 1
The following is a DFT calculation (GGA-PBEsol) of an optimized crystal structure of La2InAuCl.

E_tot: -4.41 eV per atom
Formation energy from raw total energies: -0.48 eV per atom
Space group: P4/mmm (123)
N(E_F): 3.87 states/eV per cell

Lattice parameters (Å, degrees): 4.8685 5.3505 5.3505 90.00 90.00 90.00
Atoms (fractional coordinates):
Cl: 0.0000 0.0000 0.0000
La: 0.0000 0.0000 0.5000
La: 0.0000 0.5000 0.0000
In: 0.5000 0.5000 0.5000
Au: 0.5000 0.0000 0.0000

Record 2
The following is a DFT calculation (GGA-PBEsol) of an optimized crystal structure of PtBr3.

E_tot: -2.63 eV per atom
Formation energy from raw total energies: 0.51 eV per atom
Space group: P4/mmm (123)
N(E_F): 4.41 states/eV per cell

Lattice parameters (Å, degrees): 3.1390 3.1390 9.8714 90.00 90.00 90.00
Atoms (fractional coordinates):
Pt: 0.5000 0.5000 0.5000
Br: 0.5000 0.5000 0.0000
Br: 0.0000 0.0000 0.3294
Br: 0.0000 0.0000 0.6706

Record 3
The following is a DFT calculation (GGA-PBEsol) of an optimized crystal structure of SrPtBr2.

E_tot: -3.94 eV per atom
Formation energy from raw total energies: -0.80 eV per atom
Space group: Immm (71)
Polymorph energy (0 for the lowest one): 0.0000 eV/atom
N(E_F): 0.86 states/eV per cell

Lattice parameters (Å, degrees): 4.2653 5.3338 5.3338 62.83 66.43 66.43
Atoms (fractional coordinates):
Sr: 0.0000 0.5000 0.5000
Pt: 0.5000 0.0000 0.0000
Br: 0.2058 0.7942 0.7942
Br: 0.7942 0.2058 0.2058

Record 4
The following is a DFT calculation (GGA-PBEsol) of an optimized crystal structure of CaTl3Au.

E_tot: -1.98 eV per atom
Space group: Pm-3m (221)
N(E_F): 5.35 states/eV per cell
Energy of formation from the pure elements: 0.814 eV per atom

Lattice parameters (Å, degrees): 5.7473 5.7473 5.7473 90.00 90.00 90.00
Atoms (fractional coordinates):
Tl: 0.0000 0.0000 0.5000
Tl: 0.0000 0.5000 0.0000
Tl: 0.5000 0.0000 0.0000
Ca: 0.0000 0.0000 0.0000
Au: 0.5000 0.5000 0.5000

Record 5
The following is a DFT calculation (GGA-PBEsol) of an optimized crystal structure of LiHfNi3.

E_tot: -5.20 eV per atom
Space group: Pm-3m (221)
N(E_F): 2.45 states/eV per cell
Energy of formation from the pure elements: 0.987 eV per atom

Lattice parameters (Å, degrees): 4.5505 4.5505 4.5505 90.00 90.00 90.00
Atoms (fractional coordinates):
Ni: 0.0000 0.5000 0.0000
Ni: 0.5000 0.0000 0.0000
Ni: 0.0000 0.0000 0.5000
Hf: 0.0000 0.0000 0.0000
Li: 0.5000 0.5000 0.5000

Record 6
The following is a DFT calculation (GGA-PBEsol) of an optimized crystal structure of Ta2CrNO5.

E_tot: -10.05 eV per atom
Formation energy from raw total energies: -2.26 eV per atom
Space group: Cm (8)
Polymorph energy (0 for the lowest one): 0.0073 eV/atom
N(E_F): 0.06 states/eV per cell

Lattice parameters (Å, degrees): 4.6961 4.6961 9.0711 90.25 90.25 90.11
Last column: magnetic moment on the atom in μB.
Atoms (fractional coordinates):
O: 0.3077 0.6991 0.3351  0.00
O: 0.8011 0.8011 0.1655  0.00
O: 0.3032 0.6964 0.9992  -0.01
O: 0.6964 0.3032 0.9992  -0.01
O: 0.7999 0.7999 0.5030  -0.01
O: 0.1938 0.1938 0.8347  0.00
O: 0.7986 0.7986 0.8346  0.01
O: 0.6925 0.3016 0.6695  0.00
O: 0.6991 0.3077 0.3351  0.00
O: 0.3016 0.6925 0.6695  0.00
Ta: 0.0145 0.0145 0.3265  0.08
Ta: 0.0067 0.0067 0.6575  0.08
Ta: 0.5032 0.5032 0.8332  0.06
Ta: 0.4901 0.4901 0.1716  0.08
N: 0.1972 0.1972 0.1610  -0.01
N: 0.2010 0.2010 0.5022  -0.03
Cr: 0.4962 0.4962 0.5010  2.71
Cr: 0.9971 0.9971 0.0018  2.70